# PBE KCdP2Pt, optimized geometry
data_KCdP2Pt
_chemical_formula_sum 'K1 Cd1 P2 Pt1'
_cell_length_a 5.039
_cell_length_b 5.039
_cell_length_c 5.189
_cell_angle_alpha 90.00
_cell_angle_beta 90.00
_cell_angle_gamma 90.00
_space_group_name_H-M_alt 'P 4/m m m'
_space_group_IT_number 123
_space_group_name_Hall '-P 4 2'
loop_
_atom_site_label
_atom_site_fract_x
_atom_site_fract_y
_atom_site_fract_z
K1 0.000 0.000 0.000
Cd1 0.500 0.500 0.500
P1 0.000 0.500 0.500
Pt1 0.500 0.500 0.000
# Formation energy (eV/atom): 0.76